[1]
4
Lattice="0.0000 3.4674 3.4674 3.4674 0.0000 3.4674 3.4674 3.4674 0.0000" Properties=species:S:1:pos:R:3 comment="CaIn2Re PBE optimized geometry" de_polymorph_mev_per_atom=80.8 dos_ef_per_ev_cell=4.345 delta_e_f_ev_per_atom=0.3283 m_tot_mub_per_atom=0.000 final_energy_ev_per_atom=-4.6534 pbc="T T T"
Re 3.4674 3.4674 3.4674
Ca 0.0000 0.0000 0.0000
In 1.7337 1.7337 1.7337
In 5.2010 5.2010 5.2010

***

[2]
5
Lattice="-3.1718 3.2217 -2.4311 -4.0056 -2.8916 1.3941 -4.1267 3.1656 4.1598" Properties=species:S:1:pos:R:3 comment="BaSi2Sb2 PBE optimized geometry" dos_ef_per_ev_cell=1.926 e_form_raw_ev_per_atom=-0.1078 m_tot_mub_per_atom=0.000 final_energy_ev_per_atom=-4.3105 pbc="T T T"
Sb -3.7614 1.1282 0.9833
Sb -7.5427 2.3674 2.1395
Si -5.4436 3.2762 0.6051
Si -5.8605 0.2195 2.5177
Ba 0.0000 0.0000 0.0000

***

[3]
12
Lattice="-0.2942 -6.5752 -2.2853 3.9268 4.6798 -3.3498 8.5153 -2.5919 6.3611" Properties=species:S:1:pos:R:3 comment="CsRb3Pb8 PBE optimized geometry" dos_ef_per_ev_cell=10.330 delta_e_f_ev_per_atom=-0.1476 m_tot_mub_per_atom=0.000 final_energy_ev_per_atom=-2.9329 pbc="T T T"
Cs 4.7891 -1.4577 3.5776
Rb 4.8162 -3.9507 0.1264
Rb 1.6573 -2.9892 -2.2334
Rb 7.9731 -2.4269 5.9561
Pb 6.7826 -0.3693 0.1895
Pb 2.5335 0.9240 -2.9847
Pb 10.1615 -0.5640 0.3146
Pb 8.2300 -2.8658 1.9622
Pb 8.3747 0.3682 3.0863
Pb 3.4066 -0.1671 0.0423
Pb 5.3186 2.1115 -1.5887
Pb 5.1754 -1.0900 -2.7014